No. 1
# HgSb2Cl | Alexandria via LeMat-Bulk | PBE | relaxed
# - N(E_F): 1.4 states/eV per cell
# - Electronic total energy: -10.06 eV per formula unit
# - E_form (uncorrected): 0.08 eV/atom
# - Excess energy over the best structure of this formula in the dataset: 226 meV/atom
data_HgSb2Cl
_cell_length_a 3.697
_cell_length_b 3.697
_cell_length_c 7.693
_cell_angle_alpha 90.00
_cell_angle_beta 90.00
_cell_angle_gamma 90.00
_symmetry_space_group_name_H-M 'P 4/m m m'
_symmetry_Int_Tables_number 123
_symmetry_space_group_name_Hall '-P 4 2'
loop_
_atom_site_label
_atom_site_fract_x
_atom_site_fract_y
_atom_site_fract_z
_atom_site_occupancy
Hg1 0.000 0.000 0.000 1
Sb1 0.500 0.500 0.215 1
Cl1 0.000 0.000 0.500 1


No. 2
# Hg2SbCl | Alexandria via LeMat-Bulk | PBE | relaxed
# - N(E_F): 0.7 states/eV per cell
# - Electronic total energy: -7.24 eV per formula unit
# - E_form (uncorrected): -0.17 eV/atom
# - Excess energy over the best structure of this formula in the dataset: 88 meV/atom
data_Hg2SbCl
_cell_length_a 3.375
_cell_length_b 5.673
_cell_length_c 5.727
_cell_angle_alpha 90.00
_cell_angle_beta 90.24
_cell_angle_gamma 90.00
_symmetry_space_group_name_H-M 'P 1 m 1'
_symmetry_Int_Tables_number 6
loop_
_symmetry_equiv_pos_as_xyz
'x,y,z'
'x,-y,z'
loop_
_atom_site_label
_atom_site_fract_x
_atom_site_fract_y
_atom_site_fract_z
_atom_site_occupancy
Hg1 0.000 0.000 0.000 1
Hg2 0.120 0.500 0.552 1
Sb1 0.055 0.500 0.055 1
Cl1 0.545 0.000 0.560 1